Material: Dy2Ga2Ru
Method: DFT, PBE
State: relaxed

Values from the calculation:
Crystal system: orthorhombic
Theoretical density: 8234 kg/m³
Magnetic moment: 0.000 μB/cell
E_tot: -106.49 eV for the cell shown

Cell lengths 4.4441, 13.7489, 7.4663 Å; angles 90.00, 90.00, 90.00 degrees
With the nearest neighbours (Å) after each atom.
Space group Cmc2_1 (No. 36)
Unique sites:
Dy 0.0000 0.0259 0.0000 (multiplicity 4)  6 Ga 2.89-3.19, 2 Ru 2.90
Dy 0.0000 0.2399 0.3544 (multiplicity 4)  5 Ga 2.82-3.13, 1 Ru 2.87
Ga 0.0000 0.1598 0.7020 (multiplicity 4)  2 Ru 2.48
Ga 0.0000 0.4163 0.7866 (multiplicity 4)  2 Ru 2.61-2.62
Ru 0.0000 0.4123 0.1374 (multiplicity 4)  4 Ga 2.48-2.62